1.
# BeHgS2Cl | Alexandria via LeMat-Bulk | PBE | relaxed
# uncorrected energy = -13.547 eV per cell
# uncorrected formation energy = 0.6 eV per formula unit
# excess energy over the best structure of this formula in the dataset = 0.0 kJ/mol of atoms
data_BeHgS2Cl
_chemical_formula_sum 'Be1 Hg1 S2 Cl1'
_symmetry_space_group_name_H-M 'P 4/m m m'
_symmetry_Int_Tables_number 123
_symmetry_space_group_name_Hall '-P 4 2'
_cell_length_a 4.598
_cell_length_b 4.598
_cell_length_c 4.322
_cell_angle_alpha 90.00
_cell_angle_beta 90.00
_cell_angle_gamma 90.00
loop_
_atom_site_label
_atom_site_fract_x
_atom_site_fract_y
_atom_site_fract_z
Be1 0.000 0.000 0.000
Hg1 0.500 0.500 0.500
S1 0.000 0.500 0.000
Cl1 0.000 0.000 0.500


2.
# YBeHg2Cl | Alexandria via LeMat-Bulk | PBE | relaxed
# uncorrected energy = -13.165 eV per cell
# uncorrected formation energy = -0.5 eV per formula unit
# excess energy over the best structure of this formula in the dataset = 0.0 kJ/mol of atoms
data_YBeHg2Cl
_chemical_formula_sum 'Y1 Be1 Hg2 Cl1'
_symmetry_space_group_name_H-M 'P 4/m m m'
_symmetry_Int_Tables_number 123
_symmetry_space_group_name_Hall '-P 4 2'
_cell_length_a 4.685
_cell_length_b 4.685
_cell_length_c 5.091
_cell_angle_alpha 90.00
_cell_angle_beta 90.00
_cell_angle_gamma 90.00
loop_
_atom_site_label
_atom_site_fract_x
_atom_site_fract_y
_atom_site_fract_z
Y1 0.000 0.000 0.000
Be1 0.500 0.500 0.500
Hg1 0.000 0.500 0.500
Cl1 0.500 0.500 0.000


3.
# YBeHg2Cl | Alexandria via LeMat-Bulk | PBE | relaxed
# uncorrected energy = -9.619 eV per cell
# uncorrected formation energy = 3.0 eV per formula unit
# excess energy over the best structure of this formula in the dataset = 68.4 kJ/mol of atoms
data_YBeHg2Cl
_chemical_formula_sum 'Y1 Be1 Hg2 Cl1'
_symmetry_space_group_name_H-M 'P 4/m m m'
_symmetry_Int_Tables_number 123
_symmetry_space_group_name_Hall '-P 4 2'
_cell_length_a 6.023
_cell_length_b 6.023
_cell_length_c 5.536
_cell_angle_alpha 90.00
_cell_angle_beta 90.00
_cell_angle_gamma 90.00
loop_
_atom_site_label
_atom_site_fract_x
_atom_site_fract_y
_atom_site_fract_z
Y1 0.000 0.000 0.000
Be1 0.000 0.000 0.500
Hg1 0.000 0.500 0.000
Cl1 0.500 0.500 0.500


4.
# HoBeCl | Alexandria via LeMat-Bulk | PBE | relaxed
# uncorrected energy = -50.589 eV per cell
# uncorrected formation energy = -2.5 eV per formula unit
data_HoBeCl
_chemical_formula_sum 'Ho4 Be4 Cl4'
_symmetry_space_group_name_H-M 'C m c m'
_symmetry_Int_Tables_number 63
_symmetry_space_group_name_Hall '-C 2c 2'
_cell_length_a 3.454
_cell_length_b 19.351
_cell_length_c 3.802
_cell_angle_alpha 90.00
_cell_angle_beta 90.00
_cell_angle_gamma 90.00
loop_
_atom_site_label
_atom_site_fract_x
_atom_site_fract_y
_atom_site_fract_z
Ho1 0.000 0.092 0.250
Be1 0.000 0.484 0.250
Cl1 0.000 0.332 0.250


5.
# RbHoBe2Cl8 | Alexandria via LeMat-Bulk | PBE | relaxed
# uncorrected energy = -147.808 eV per cell
# uncorrected formation energy = -21.5 eV per formula unit
data_RbHoBe2Cl8
_chemical_formula_sum 'Rb3 Ho3 Be6 Cl24'
_symmetry_space_group_name_H-M 'R -3'
_symmetry_Int_Tables_number 148
_symmetry_space_group_name_Hall '-R 3'
_cell_length_a 6.2182
_cell_length_b 6.2182
_cell_length_c 29.6223
_cell_angle_alpha 90.00
_cell_angle_beta 90.00
_cell_angle_gamma 120.00
loop_
_atom_site_label
_atom_site_fract_x
_atom_site_fract_y
_atom_site_fract_z
Rb1 0.0000 0.0000 0.0000
Ho1 0.0000 0.0000 0.5000
Be1 0.0000 0.0000 0.2443
Cl1 0.0000 0.0000 0.3101
Cl2 0.0025 0.3137 0.2199


6.
# Be2ICl | Alexandria via LeMat-Bulk | PBE | relaxed
# uncorrected energy = -31.250 eV per cell
# uncorrected formation energy = 3.0 eV per formula unit
# excess energy over the best structure of this formula in the dataset = 22.6 kJ/mol of atoms
data_Be2ICl
_chemical_formula_sum 'Be8 I4 Cl4'
_symmetry_space_group_name_H-M 'F m -3 m'
_symmetry_Int_Tables_number 225
_symmetry_space_group_name_Hall '-F 4 2 3'
_cell_length_a 6.599
_cell_length_b 6.599
_cell_length_c 6.599
_cell_angle_alpha 90.00
_cell_angle_beta 90.00
_cell_angle_gamma 90.00
loop_
_atom_site_label
_atom_site_fract_x
_atom_site_fract_y
_atom_site_fract_z
Be1 0.250 0.250 0.250
I1 0.000 0.000 0.000
Cl1 0.000 0.000 0.500


7.
# BeICl | Alexandria via LeMat-Bulk | PBE | relaxed
# uncorrected energy = -40.000 eV per cell
# uncorrected formation energy = -2.9 eV per formula unit
data_BeICl
_chemical_formula_sum 'Be4 I4 Cl4'
_symmetry_space_group_name_H-M 'P 1 21/c 1'
_symmetry_Int_Tables_number 14
_cell_length_a 8.458
_cell_length_b 5.870
_cell_length_c 7.672
_cell_angle_alpha 90.00
_cell_angle_beta 101.97
_cell_angle_gamma 90.00
loop_
_symmetry_equiv_pos_as_xyz
'x,y,z'
'-x,-y,-z'
'-x,y+1/2,-z+1/2'
'x,-y+1/2,z+1/2'
loop_
_atom_site_label
_atom_site_fract_x
_atom_site_fract_y
_atom_site_fract_z
Be1 0.124 0.162 0.278
I1 0.296 0.248 0.568
Cl1 0.094 0.687 0.770


8.
# Be2ICl | Alexandria via LeMat-Bulk | PBE | relaxed
# uncorrected energy = -34.998 eV per cell
# uncorrected formation energy = 2.1 eV per formula unit
# excess energy over the best structure of this formula in the dataset = 0.0 kJ/mol of atoms
data_Be2ICl
_chemical_formula_sum 'Be8 I4 Cl4'
_symmetry_space_group_name_H-M 'I -4 2 d'
_symmetry_Int_Tables_number 122
_symmetry_space_group_name_Hall 'I -4 2bw'
_cell_length_a 6.550
_cell_length_b 6.550
_cell_length_c 7.087
_cell_angle_alpha 90.00
_cell_angle_beta 90.00
_cell_angle_gamma 90.00
loop_
_atom_site_label
_atom_site_fract_x
_atom_site_fract_y
_atom_site_fract_z
Be1 0.222 0.250 0.125
I1 0.000 0.000 0.500
Cl1 0.000 0.000 0.000


9.
# Be2ICl2 | Alexandria via LeMat-Bulk | PBE | relaxed
# uncorrected energy = -27.489 eV per cell
# uncorrected formation energy = -1.0 eV per formula unit
# excess energy over the best structure of this formula in the dataset = 0.0 kJ/mol of atoms
data_Be2ICl2
_chemical_formula_sum 'Be4 I2 Cl4'
_symmetry_space_group_name_H-M 'P 4/m b m'
_symmetry_Int_Tables_number 127
_symmetry_space_group_name_Hall '-P 4 2ab'
_cell_length_a 8.016
_cell_length_b 8.016
_cell_length_c 3.601
_cell_angle_alpha 90.00
_cell_angle_beta 90.00
_cell_angle_gamma 90.00
loop_
_atom_site_label
_atom_site_fract_x
_atom_site_fract_y
_atom_site_fract_z
Be1 0.225 0.275 0.000
I1 0.000 0.000 0.000
Cl1 0.138 0.362 0.500


10.
# Be2ICl2 | Alexandria via LeMat-Bulk | PBE | relaxed
# uncorrected energy = -24.989 eV per cell
# uncorrected formation energy = 0.2 eV per formula unit
# excess energy over the best structure of this formula in the dataset = 24.1 kJ/mol of atoms
data_Be2ICl2
_chemical_formula_sum 'Be4 I2 Cl4'
_symmetry_space_group_name_H-M 'I 4/m m m'
_symmetry_Int_Tables_number 139
_symmetry_space_group_name_Hall '-I 4 2'
_cell_length_a 4.217
_cell_length_b 4.217
_cell_length_c 10.429
_cell_angle_alpha 90.00
_cell_angle_beta 90.00
_cell_angle_gamma 90.00
loop_
_atom_site_label
_atom_site_fract_x
_atom_site_fract_y
_atom_site_fract_z
Be1 0.000 0.000 0.131
I1 0.000 0.000 0.500
Cl1 0.000 0.500 0.250


11.
# BeI3Cl | Alexandria via LeMat-Bulk | PBE | relaxed
# uncorrected energy = -9.229 eV per cell
# uncorrected formation energy = 1.0 eV per formula unit
# excess energy over the best structure of this formula in the dataset = 0.0 kJ/mol of atoms
data_BeI3Cl
_chemical_formula_sum 'Be1 I3 Cl1'
_symmetry_space_group_name_H-M 'P m -3 m'
_symmetry_Int_Tables_number 221
_symmetry_space_group_name_Hall '-P 4 2 3'
_cell_length_a 5.241
_cell_length_b 5.241
_cell_length_c 5.241
_cell_angle_alpha 90.00
_cell_angle_beta 90.00
_cell_angle_gamma 90.00
loop_
_atom_site_label
_atom_site_fract_x
_atom_site_fract_y
_atom_site_fract_z
Be1 0.000 0.000 0.000
I1 0.000 0.000 0.500
Cl1 0.500 0.500 0.500


12.
# BeICl3 | Alexandria via LeMat-Bulk | PBE | relaxed
# uncorrected energy = -7.725 eV per cell
# uncorrected formation energy = 3.1 eV per formula unit
# excess energy over the best structure of this formula in the dataset = 83.1 kJ/mol of atoms
data_BeICl3
_chemical_formula_sum 'Be1 I1 Cl3'
_symmetry_space_group_name_H-M 'P m -3 m'
_symmetry_Int_Tables_number 221
_symmetry_space_group_name_Hall '-P 4 2 3'
_cell_length_a 5.510
_cell_length_b 5.510
_cell_length_c 5.510
_cell_angle_alpha 90.00
_cell_angle_beta 90.00
_cell_angle_gamma 90.00
loop_
_atom_site_label
_atom_site_fract_x
_atom_site_fract_y
_atom_site_fract_z
Be1 0.000 0.000 0.000
I1 0.500 0.500 0.500
Cl1 0.000 0.500 0.500


Repeat the twelfth record exactly.
# BeICl3 | Alexandria via LeMat-Bulk | PBE | relaxed
# uncorrected energy = -7.725 eV per cell
# uncorrected formation energy = 3.1 eV per formula unit
# excess energy over the best structure of this formula in the dataset = 83.1 kJ/mol of atoms
data_BeICl3
_chemical_formula_sum 'Be1 I1 Cl3'
_symmetry_space_group_name_H-M 'P m -3 m'
_symmetry_Int_Tables_number 221
_symmetry_space_group_name_Hall '-P 4 2 3'
_cell_length_a 5.510
_cell_length_b 5.510
_cell_length_c 5.510
_cell_angle_alpha 90.00
_cell_angle_beta 90.00
_cell_angle_gamma 90.00
loop_
_atom_site_label
_atom_site_fract_x
_atom_site_fract_y
_atom_site_fract_z
Be1 0.000 0.000 0.000
I1 0.500 0.500 0.500
Cl1 0.000 0.500 0.500


What did the first record say?
# BeHgS2Cl | Alexandria via LeMat-Bulk | PBE | relaxed
# uncorrected energy = -13.547 eV per cell
# uncorrected formation energy = 0.6 eV per formula unit
# excess energy over the best structure of this formula in the dataset = 0.0 kJ/mol of atoms
data_BeHgS2Cl
_chemical_formula_sum 'Be1 Hg1 S2 Cl1'
_symmetry_space_group_name_H-M 'P 4/m m m'
_symmetry_Int_Tables_number 123
_symmetry_space_group_name_Hall '-P 4 2'
_cell_length_a 4.598
_cell_length_b 4.598
_cell_length_c 4.322
_cell_angle_alpha 90.00
_cell_angle_beta 90.00
_cell_angle_gamma 90.00
loop_
_atom_site_label
_atom_site_fract_x
_atom_site_fract_y
_atom_site_fract_z
Be1 0.000 0.000 0.000
Hg1 0.500 0.500 0.500
S1 0.000 0.500 0.000
Cl1 0.000 0.000 0.500


Look up the uncorrected energy of the eighth one.
-34.998 eV per cell


What is the uncorrected formation energy in the ninth record?
-1.0 eV per formula unit